Material: Sr
Method: DFT, PBE
State: relaxed

a = 4.249 Å, b = 4.251 Å, c = 4.251 Å
α = 59.97°, β = 60.02°, γ = 60.02°
Positions (direct):
Sr: 0.000 0.500 0.500

Calculated values
Total magnetic moment in μB/atom: 0.000
Electronic total energy in eV/atom: -1.6808
Density of states at the Fermi level in states/eV/f.u.: 0.48
ΔE to the lowest computed polymorph in meV/atom: 1
V in Å³ per cell: 54.3

Material: AsSe3
Method: DFT, PBE
State: relaxed

a = 8.656 Å, b = 8.656 Å, c = 8.656 Å
α = 155.60°, β = 155.57°, γ = 34.80°
Positions (direct):
As: 0.500 0.000 0.500
Se: 0.000 0.500 0.500
Se: 0.728 0.728 0.000
Se: 0.272 0.272 0.000

Calculated values
Total magnetic moment in μB/atom: 0.000
Electronic total energy in eV/atom: -3.5247
Uncorrected formation energy in eV per atom: 0.2511
Density of states at the Fermi level in states/eV/f.u.: 2.34
ΔE to the lowest computed polymorph in meV/atom: 180
V in Å³ per cell: 110.7

Material: K4Rb3O
Method: DFT, PBE
State: relaxed

a = 8.891 Å, b = 8.891 Å, c = 8.891 Å
α = 91.36°, β = 121.83°, γ = 116.67°
Positions (direct):
O: 0.900 0.500 0.400
Rb: 0.900 0.000 0.900
Rb: 0.658 0.661 0.319
K: 0.121 0.347 0.469
K: 0.619 0.223 0.396
K: 0.173 0.777 0.396
K: 0.121 0.653 0.774
Rb: 0.658 0.339 0.997

Calculated values
Total magnetic moment in μB/atom: 0.000
Electronic total energy in eV/atom: -1.9054
Uncorrected formation energy in eV per atom: -0.3740
Density of states at the Fermi level in states/eV/f.u.: 4.82
ΔE to the lowest computed polymorph in meV/atom: 0
V in Å³ per cell: 501.3

Material: PmNdTm2Sc
Method: DFT, PBE
State: relaxed

a = 5.598 Å, b = 9.439 Å, c = 6.205 Å
α = 108.89°, β = 90.00°, γ = 90.00°
Positions (direct):
Sc: 0.750 0.500 0.345
Nd: 0.750 0.306 0.734
Tm: 0.750 0.895 0.532
Tm: 0.250 0.310 0.072
Nd: 0.250 0.694 0.266
Sc: 0.250 0.500 0.655
Pm: 0.250 0.898 0.866
Pm: 0.750 0.102 0.134
Tm: 0.250 0.105 0.468
Tm: 0.750 0.690 0.928

Calculated values
Total magnetic moment in μB/atom: 0.000
Electronic total energy in eV/atom: -4.9271
Density of states at the Fermi level in states/eV/f.u.: 8.01
V in Å³ per cell: 310.2